Below is a relaxed structure of P2PbAuCl, with properties calculated at the PBE level.

Geometry as POSCAR:
```
P2PbAuCl
1.0
5.4151 0.0000 0.0000
0.0000 5.4151 0.0000
0.0000 0.0000 5.2951
P Pb Au Cl
2 1 1 1
Direct
0.0000 0.5000 0.0000
0.5000 0.0000 0.0000
0.0000 0.0000 0.0000
0.5000 0.5000 0.5000
0.0000 0.0000 0.5000
```

Results
Total moment in μB per atom: 0.447
Offset from the most stable computed form in kJ per mole of atoms: 54.6
Uncorrected energy in eV per atom: -2.86
E_form (uncorrected) in eV per atom: 1.08
Space group: No. 123